Record 1
{"formula": "CaAl2Zn", "functional": "SCAN", "state": "single point on PBEsol structure", "dos_ef_per_ev_atom": 0.251, "delta_e_f_ev_per_atom": -0.093, "lattice": [[-2.369, 2.369, 3.364], [2.369, -2.369, 3.364], [2.369, 2.369, -3.364]], "species": ["Ca", "Al", "Al", "Zn"], "frac_coords": [[0.000, 0.000, 0.000], [0.500, 0.500, 0.000], [0.750, 0.250, 0.500], [0.250, 0.750, 0.500]]}


Record 2
{"formula": "K2TlOs", "functional": "SCAN", "state": "single point on PBEsol structure", "dos_ef_per_ev_atom": 0.451, "delta_e_f_ev_per_atom": 0.676, "lattice": [[10.071, -1.545, 0.000], [10.071, 1.545, 0.000], [-0.986, 0.000, 4.357]], "species": ["K", "K", "Tl", "Os"], "frac_coords": [[0.146, 0.146, 0.146], [0.854, 0.854, 0.854], [0.000, 0.000, 0.500], [0.500, 0.500, 0.000]]}


Record 3
{"formula": "CrCl2", "functional": "SCAN", "state": "single point on PBEsol structure", "formation_energy_uncorrected_ev_per_atom": -1.34, "lattice": [[1.696, -7.554, 0.000], [1.696, 7.554, 0.000], [0.000, 0.000, 5.942]], "species": ["Cr", "Cr", "Cl", "Cl", "Cl", "Cl"], "frac_coords": [[0.183, 0.817, 0.750], [0.817, 0.183, 0.250], [0.206, 0.794, 0.250], [0.421, 0.579, 0.250], [0.579, 0.421, 0.750], [0.794, 0.206, 0.750]]}


Record 4
{"formula": "Ce2Ni12As7", "functional": "SCAN", "state": "single point on PBEsol structure", "dos_ef_per_ev_atom": 0.886, "delta_e_f_ev_per_atom": -0.568, "lattice": [[9.248, 0.000, 0.000], [-4.624, 8.009, 0.000], [0.000, 0.000, 3.826]], "species": ["Ce", "Ce", "Ni", "Ni", "Ni", "Ni", "Ni", "Ni", "Ni", "Ni", "Ni", "Ni", "Ni", "Ni", "As", "As", "As", "As", "As", "As", "As"], "frac_coords": [[0.000, 0.000, 0.000], [0.333, 0.667, 0.500], [0.044, 0.758, 0.500], [0.108, 0.388, 0.000], [0.242, 0.286, 0.500], [0.280, 0.892, 0.000], [0.387, 0.201, 0.000], [0.558, 0.126, 0.500], [0.568, 0.442, 0.500], [0.612, 0.720, 0.000], [0.714, 0.956, 0.500], [0.799, 0.186, 0.000], [0.814, 0.613, 0.000], [0.874, 0.432, 0.500], [0.064, 0.616, 0.000], [0.265, 0.036, 0.500], [0.384, 0.448, 0.000], [0.552, 0.936, 0.000], [0.667, 0.333, 0.000], [0.771, 0.735, 0.500], [0.964, 0.229, 0.500]]}


Record 5
{"formula": "CsB3O", "functional": "SCAN", "state": "single point on PBEsol structure", "dos_ef_per_ev_atom": 0.557, "formation_energy_uncorrected_ev_per_atom": 2.48, "lattice": [[4.230, 0.000, 0.000], [0.000, 4.230, 0.000], [0.000, 0.000, 4.230]], "species": ["Cs", "B", "B", "B", "O"], "frac_coords": [[0.000, 0.000, 0.000], [0.000, 0.500, 0.500], [0.500, 0.000, 0.500], [0.500, 0.500, 0.000], [0.500, 0.500, 0.500]]}


Record 6
{"formula": "Li2IrRh", "functional": "SCAN", "state": "single point on PBEsol structure", "dos_ef_per_ev_atom": 0.630, "delta_e_f_ev_per_atom": -0.253, "lattice": [[2.603, 0.000, 0.000], [0.000, 4.378, 0.000], [-0.164, 0.000, 4.597]], "species": ["Li", "Li", "Ir", "Rh"], "frac_coords": [[0.240, 0.000, 0.249], [0.760, 0.000, 0.751], [0.500, 0.500, 0.000], [0.000, 0.500, 0.500]]}


Record 7
{"formula": "KTc3Sb", "functional": "SCAN", "state": "single point on PBEsol structure", "dos_ef_per_ev_atom": 1.011, "formation_energy_uncorrected_ev_per_atom": 1.79, "lattice": [[4.962, 0.000, 0.000], [0.000, 4.962, 0.000], [0.000, 0.000, 4.962]], "species": ["K", "Tc", "Tc", "Tc", "Sb"], "frac_coords": [[0.000, 0.000, 0.000], [0.000, 0.500, 0.500], [0.500, 0.000, 0.500], [0.500, 0.500, 0.000], [0.500, 0.500, 0.500]]}


Record 8
{"formula": "BeAg2Ru", "functional": "SCAN", "state": "single point on PBEsol structure", "dos_ef_per_ev_atom": 0.490, "delta_e_f_ev_per_atom": 0.442, "lattice": [[2.592, -4.649, 0.000], [2.592, 4.649, 0.000], [-1.112, 0.000, 2.361]], "species": ["Be", "Ag", "Ag", "Ru"], "frac_coords": [[0.000, 0.000, 0.000], [0.000, 0.500, 0.500], [0.500, 0.000, 0.500], [0.500, 0.500, 0.000]]}


Record 9
{"formula": "KSrY2", "functional": "SCAN", "state": "single point on PBEsol structure", "dos_ef_per_ev_atom": 1.373, "delta_e_f_ev_per_atom": 0.444, "lattice": [[3.911, 0.000, 0.000], [0.000, 6.084, 0.000], [0.000, 0.000, 6.487]], "species": ["K", "Sr", "Y", "Y"], "frac_coords": [[0.000, 0.000, 0.000], [0.500, 0.500, 0.000], [0.000, 0.500, 0.500], [0.500, 0.000, 0.500]]}


Record 10
{"formula": "MgInPb2", "functional": "SCAN", "state": "single point on PBEsol structure", "dos_ef_per_ev_atom": 0.358, "delta_e_f_ev_per_atom": -0.007, "lattice": [[1.739, -2.896, 0.000], [1.739, 2.896, 0.000], [0.000, 0.000, 10.761]], "species": ["Mg", "In", "Pb", "Pb"], "frac_coords": [[0.000, 0.000, 0.000], [0.500, 0.500, 0.228], [0.000, 0.000, 0.485], [0.500, 0.500, 0.761]]}


Record 11
{"formula": "Cr2WCl", "functional": "SCAN", "state": "single point on PBEsol structure", "dos_ef_per_ev_atom": 0.777, "formation_energy_uncorrected_ev_per_atom": 0.51, "lattice": [[1.477, -2.302, 0.000], [1.477, 2.302, 0.000], [0.000, 0.000, 8.062]], "species": ["Cr", "Cr", "W", "Cl"], "frac_coords": [[0.000, 0.000, 0.000], [0.500, 0.500, 0.215], [0.500, 0.500, 0.745], [0.000, 0.000, 0.461]]}


Record 12
{"formula": "YTa4Mo", "functional": "SCAN", "state": "single point on PBEsol structure", "dos_ef_per_ev_atom": 1.591, "delta_e_f_ev_per_atom": 0.333, "lattice": [[0.000, 3.866, 3.866], [3.866, 0.000, 3.866], [3.866, 3.866, 0.000]], "species": ["Y", "Ta", "Ta", "Ta", "Ta", "Mo"], "frac_coords": [[0.000, 0.000, 0.000], [0.125, 0.625, 0.625], [0.625, 0.125, 0.625], [0.625, 0.625, 0.125], [0.625, 0.625, 0.625], [0.250, 0.250, 0.250]]}


Record 13
{"formula": "KCaTa2", "functional": "SCAN", "state": "single point on PBEsol structure", "dos_ef_per_ev_atom": 0.815, "delta_e_f_ev_per_atom": 0.636, "lattice": [[3.503, 0.000, 0.000], [0.000, 3.503, 0.000], [-0.017, 0.000, 9.557]], "species": ["K", "Ca", "Ta", "Ta"], "frac_coords": [[0.000, 0.000, 0.000], [0.504, 0.500, 0.621], [0.003, 0.000, 0.398], [0.502, 0.500, 0.288]]}


Record 14
{"formula": "EuH2", "functional": "SCAN", "state": "single point on PBEsol structure", "energy_ev_per_atom": -20.87, "dos_ef_per_ev_atom": 0.215, "lattice": [[5.893, 0.000, 0.000], [0.000, 3.626, 0.000], [0.000, 0.000, 6.894]], "species": ["Eu", "Eu", "Eu", "Eu", "H", "H", "H", "H", "H", "H", "H", "H"], "frac_coords": [[0.245, 0.250, 0.114], [0.255, 0.750, 0.614], [0.745, 0.250, 0.386], [0.755, 0.750, 0.886], [0.032, 0.750, 0.312], [0.145, 0.750, 0.931], [0.355, 0.250, 0.431], [0.468, 0.250, 0.812], [0.532, 0.750, 0.188], [0.645, 0.750, 0.569], [0.855, 0.250, 0.069], [0.968, 0.250, 0.688]]}


Record 15
{"formula": "NaSr2Rh", "functional": "SCAN", "state": "single point on PBEsol structure", "dos_ef_per_ev_atom": 0.139, "delta_e_f_ev_per_atom": -0.023, "lattice": [[0.000, 3.791, 3.791], [3.791, 0.000, 3.791], [3.791, 3.791, 0.000]], "species": ["Na", "Sr", "Sr", "Rh"], "frac_coords": [[0.000, 0.000, 0.000], [0.250, 0.250, 0.250], [0.750, 0.750, 0.750], [0.500, 0.500, 0.500]]}


Record 16
{"formula": "BaSiS2", "functional": "SCAN", "state": "single point on PBEsol structure", "dos_ef_per_ev_atom": 0.313, "formation_energy_uncorrected_ev_per_atom": -0.65, "lattice": [[2.337, 1.349, 7.630], [-2.337, 1.349, 7.630], [0.000, -2.698, 7.630]], "species": ["Ba", "Si", "S", "S"], "frac_coords": [[0.000, 0.000, 0.000], [0.500, 0.500, 0.500], [0.402, 0.402, 0.402], [0.598, 0.598, 0.598]]}


Record 17
{"formula": "NbHgS3", "functional": "SCAN", "state": "single point on PBEsol structure", "dos_ef_per_ev_atom": 0.763, "formation_energy_uncorrected_ev_per_atom": -0.30, "lattice": [[4.782, 0.000, 0.000], [0.000, 4.782, 0.000], [0.000, 0.000, 4.782]], "species": ["Nb", "Hg", "S", "S", "S"], "frac_coords": [[0.000, 0.000, 0.000], [0.500, 0.500, 0.500], [0.000, 0.000, 0.500], [0.000, 0.500, 0.000], [0.500, 0.000, 0.000]]}


Record 18
{"formula": "CuTcHg", "functional": "SCAN", "state": "single point on PBEsol structure", "dos_ef_per_ev_atom": 0.685, "delta_e_f_ev_per_atom": 0.480, "lattice": [[-1.368, 1.368, 6.011], [1.368, -1.368, 6.011], [1.368, 1.368, -6.011]], "species": ["Cu", "Tc", "Hg"], "frac_coords": [[0.000, 0.000, 0.000], [0.354, 0.354, 0.000], [0.670, 0.670, 0.000]]}


Record 19
{"formula": "LaIr2", "functional": "SCAN", "state": "single point on PBEsol structure", "dos_ef_per_ev_atom": 1.318, "delta_e_f_ev_per_atom": -0.125, "lattice": [[1.902, -9.826, 0.000], [1.902, 9.826, 0.000], [0.000, 0.000, 3.807]], "species": ["La", "La", "Ir", "Ir", "Ir", "Ir"], "frac_coords": [[0.161, 0.839, 0.750], [0.839, 0.161, 0.250], [0.051, 0.949, 0.250], [0.454, 0.546, 0.250], [0.546, 0.454, 0.750], [0.949, 0.051, 0.750]]}


Record 20
{"formula": "ZrInAs4", "functional": "SCAN", "state": "single point on PBEsol structure", "dos_ef_per_ev_atom": 0.532, "delta_e_f_ev_per_atom": 0.112, "lattice": [[0.000, 3.902, 3.902], [3.902, 0.000, 3.902], [3.902, 3.902, 0.000]], "species": ["Zr", "In", "As", "As", "As", "As"], "frac_coords": [[0.000, 0.000, 0.000], [0.250, 0.250, 0.250], [0.122, 0.626, 0.626], [0.626, 0.122, 0.626], [0.626, 0.626, 0.122], [0.626, 0.626, 0.626]]}


Record 21
{"formula": "BaCa3Mg", "functional": "SCAN", "state": "single point on PBEsol structure", "dos_ef_per_ev_atom": 0.716, "delta_e_f_ev_per_atom": 0.955, "lattice": [[5.781, 0.000, 0.000], [0.000, 5.781, 0.000], [0.000, 0.000, 5.781]], "species": ["Ba", "Ca", "Ca", "Ca", "Mg"], "frac_coords": [[0.000, 0.000, 0.000], [0.000, 0.000, 0.500], [0.000, 0.500, 0.000], [0.500, 0.000, 0.000], [0.500, 0.500, 0.500]]}


Record 22
{"formula": "Zn2CrW", "functional": "SCAN", "state": "single point on PBEsol structure", "dos_ef_per_ev_atom": 0.380, "delta_e_f_ev_per_atom": 0.198, "lattice": [[2.718, 0.000, 0.000], [0.000, 2.718, 0.000], [0.000, 0.000, 7.549]], "species": ["Zn", "Zn", "Cr", "W"], "frac_coords": [[0.000, 0.000, 0.000], [0.500, 0.500, 0.243], [0.000, 0.000, 0.485], [0.500, 0.500, 0.736]]}


Record 23
{"formula": "BaAlPb2", "functional": "SCAN", "state": "single point on PBEsol structure", "dos_ef_per_ev_atom": 0.639, "delta_e_f_ev_per_atom": -0.126, "lattice": [[0.000, 3.940, 3.940], [3.940, 0.000, 3.940], [3.940, 3.940, 0.000]], "species": ["Ba", "Al", "Pb", "Pb"], "frac_coords": [[0.000, 0.000, 0.000], [0.750, 0.750, 0.750], [0.250, 0.250, 0.250], [0.500, 0.500, 0.500]]}


Record 24
{"formula": "LiIn2Ir2", "functional": "SCAN", "state": "single point on PBEsol structure", "dos_ef_per_ev_atom": 0.504, "delta_e_f_ev_per_atom": 0.025, "lattice": [[-2.244, 2.244, 5.223], [2.244, -2.244, 5.223], [2.244, 2.244, -5.223]], "species": ["Li", "In", "In", "Ir", "Ir"], "frac_coords": [[0.000, 0.000, 0.000], [0.250, 0.750, 0.500], [0.750, 0.250, 0.500], [0.387, 0.387, 0.000], [0.613, 0.613, 0.000]]}


Record 25
{"formula": "Tl3NiSe", "functional": "SCAN", "state": "single point on PBEsol structure", "dos_ef_per_ev_atom": 0.431, "formation_energy_uncorrected_ev_per_atom": -0.06, "lattice": [[5.000, 0.000, 0.000], [0.000, 5.000, 0.000], [0.000, 0.000, 5.000]], "species": ["Tl", "Tl", "Tl", "Ni", "Se"], "frac_coords": [[0.000, 0.000, 0.500], [0.000, 0.500, 0.000], [0.500, 0.000, 0.000], [0.000, 0.000, 0.000], [0.500, 0.500, 0.500]]}


Record 26
{"formula": "BaCd2Au", "functional": "SCAN", "state": "single point on PBEsol structure", "dos_ef_per_ev_atom": 0.564, "delta_e_f_ev_per_atom": -0.404, "lattice": [[3.852, 0.000, 0.000], [0.000, 4.463, 0.000], [-1.903, 0.000, 6.472]], "species": ["Ba", "Cd", "Cd", "Au"], "frac_coords": [[0.000, 0.000, 0.000], [0.260, 0.000, 0.516], [0.702, 0.500, 0.400], [0.385, 0.500, 0.768]]}


Record 27
{"formula": "Sr14Sn3As12", "functional": "SCAN", "state": "single point on PBEsol structure", "delta_e_f_ev_per_atom": -1.168, "lattice": [[6.500, 3.753, 5.709], [-6.500, 3.753, 5.709], [0.000, -7.506, 5.709]], "species": ["Sr", "Sr", "Sr", "Sr", "Sr", "Sr", "Sr", "Sr", "Sr", "Sr", "Sr", "Sr", "Sr", "Sr", "Sn", "Sn", "Sn", "As", "As", "As", "As", "As", "As", "As", "As", "As", "As", "As", "As"], "frac_coords": [[0.009, 0.009, 0.009], [0.021, 0.878, 0.380], [0.142, 0.628, 0.783], [0.144, 0.261, 0.595], [0.261, 0.595, 0.144], [0.371, 0.872, 0.518], [0.380, 0.021, 0.878], [0.518, 0.371, 0.872], [0.595, 0.144, 0.261], [0.628, 0.783, 0.142], [0.783, 0.142, 0.628], [0.794, 0.794, 0.794], [0.872, 0.518, 0.371], [0.878, 0.380, 0.021], [0.218, 0.218, 0.218], [0.441, 0.441, 0.441], [0.606, 0.606, 0.606], [0.080, 0.950, 0.692], [0.192, 0.577, 0.467], [0.195, 0.311, 0.937], [0.311, 0.937, 0.195], [0.463, 0.704, 0.835], [0.467, 0.192, 0.577], [0.577, 0.467, 0.192], [0.692, 0.080, 0.950], [0.704, 0.835, 0.463], [0.835, 0.463, 0.704], [0.937, 0.195, 0.311], [0.950, 0.692, 0.080]]}


Number 1: volume 18.9 A^3/atom. Number 2: volume 33.9 A^3/atom. Number 3: volume 25.4 A^3/atom. Number 4: volume 13.5 A^3/atom. Number 5: volume 15.1 A^3/atom. Number 6: volume 13.1 A^3/atom. Number 7: volume 24.4 A^3/atom. Number 8: volume 14.2 A^3/atom. Number 9: volume 38.6 A^3/atom. Number 10: volume 27.1 A^3/atom. Number 11: volume 13.7 A^3/atom. Number 12: volume 19.3 A^3/atom. Number 13: volume 29.3 A^3/atom. Number 14: volume 12.3 A^3/atom. Number 15: volume 27.2 A^3/atom. Number 16: volume 36.1 A^3/atom. Number 17: volume 21.9 A^3/atom. Number 18: volume 15.0 A^3/atom. Number 19: volume 23.7 A^3/atom. Number 20: volume 19.8 A^3/atom. Number 21: volume 38.6 A^3/atom. Number 22: volume 13.9 A^3/atom. Number 23: volume 30.6 A^3/atom. Number 24: volume 21.0 A^3/atom. Number 25: volume 25.0 A^3/atom. Number 26: volume 27.8 A^3/atom. Number 27: volume 28.8 A^3/atom.